# FeAgN2F (GGA+U, optimized geometry)
data_FeAgN2F
_chemical_formula_sum 'Fe1 Ag1 N2 F1'
_space_group_name_H-M_alt 'P 1'
_space_group_IT_number 1
_space_group_name_Hall 'P 1'
_cell_length_a 3.845
_cell_length_b 3.845
_cell_length_c 4.103
_cell_angle_alpha 90.00
_cell_angle_beta 90.00
_cell_angle_gamma 90.00
loop_
_atom_site_label
_atom_site_fract_x
_atom_site_fract_y
_atom_site_fract_z
Ag1 0.500 0.500 0.500
N1 0.500 0.000 0.000
N2 0.000 0.500 0.000
F1 0.000 0.000 0.500
Fe1 0.000 0.000 0.000
# E above lowest polymorph (meV/atom): 0
# E (eV/atom): -4.809
# Fermi-level density of states (states/eV per atom): 0.416
# Total magnetic moment (μB/f.u.): 2.5